(1)
VASP calculation (PBE) on crystalline CsAl2Ag2 at its relaxed geometry.

abc: 8.671 8.671 3.206
angles: 90.00 90.00 90.00
Fractional coordinates of all 10 atoms:
Al1 0.612 0.112 0.000
Al2 0.888 0.612 0.000
Al3 0.388 0.888 0.000
Al4 0.112 0.388 0.000
Cs1 0.000 0.000 0.000
Cs2 0.500 0.500 0.000
Ag1 0.333 0.167 0.500
Ag2 0.167 0.667 0.500
Ag3 0.833 0.333 0.500
Ag4 0.667 0.833 0.500

DOS at the Fermi energy = 0.34 states/eV per atom
crystal system = tetragonal
energy of formation from the pure elements = 0.26 eV/atom
ΔE to the lowest computed polymorph = 0.1393 eV/atom
uncorrected energy = -25.50 eV for the cell shown



(2)
VASP calculation (PBE) on crystalline CsAlAg at its relaxed geometry.

abc: 5.427 6.725 9.798
angles: 136.69 90.00 113.80
Fractional coordinates of all 6 atoms:
Cs1 0.126 0.252 0.470
Cs2 0.626 0.252 0.199
Ag1 0.877 0.754 0.835
Ag2 0.375 0.751 0.334
Al1 0.626 0.251 0.778
Al2 0.126 0.253 0.889

DOS at the Fermi energy = 0.55 states/eV per atom
crystal system = monoclinic
energy of formation from the pure elements = 0.16 eV/atom
ΔE to the lowest computed polymorph = 0.0419 eV/atom
uncorrected energy = -13.92 eV for the cell shown



Q: The highest ΔE to the lowest computed polymorph belongs to which entry?
A: CsAl2Ag2



Q: Which value of ΔE to the lowest computed polymorph does entry 1 give?
A: 0.1393 eV/atom